# 1
A plane-wave DFT calculation with PBE-GGA was carried out for a relaxed structure of Ho2ErTm9.

Structure (POSCAR):
```
Ho2ErTm9
1.0
4.935 0.000 0.000
0.000 4.935 0.000
0.000 0.000 14.803
Ho Er Tm
2 1 9
Cartesian
0.000 0.000 2.469
0.000 0.000 12.334
0.000 0.000 7.401
0.000 2.467 0.000
0.000 2.467 4.938
0.000 2.467 9.865
2.467 0.000 0.000
2.467 0.000 4.938
2.467 0.000 9.865
2.467 2.467 2.469
2.467 2.467 7.401
2.467 2.467 12.334
```

Results
polymorph energy (0 for the lowest one) = 0.0 meV/atom

# 2
A plane-wave DFT calculation with PBE-GGA was carried out for a relaxed structure of Tl6In5Hg.

Structure (POSCAR):
```
Tl6In5Hg
1.0
5.707 -7.036 0.000
5.707 7.036 0.000
-1.816 0.000 4.301
Tl In Hg
6 5 1
Cartesian
1.481 2.345 3.214
2.376 0.000 1.053
1.481 -2.345 3.214
8.118 2.345 1.087
7.222 0.000 3.248
8.118 -2.345 1.087
-0.908 0.000 2.151
5.707 4.663 0.000
4.799 2.272 2.151
4.799 -2.272 2.151
5.707 -4.663 0.000
5.707 0.000 0.000
```

Results
final energy = -2.318 eV per atom

# 3
A plane-wave DFT calculation with PBE-GGA was carried out for a relaxed structure of InReHg2.

Structure (POSCAR):
```
InReHg2
1.0
2.869 0.000 0.000
0.000 4.734 0.000
0.000 0.000 13.644
In Re Hg
2 2 4
Cartesian
0.000 0.000 0.000
1.434 2.367 6.822
0.000 0.000 6.822
1.434 2.367 0.000
0.000 2.367 2.500
0.000 2.367 11.144
1.434 0.000 4.322
1.434 0.000 9.322
```

Results
final energy = -3.426 eV per atom

# 4
A plane-wave DFT calculation with PBE-GGA was carried out for a relaxed structure of AcLa2Ho2Er2.

Structure (POSCAR):
```
AcLa2Ho2Er2
1.0
11.591 0.000 0.000
0.000 5.182 0.000
-1.223 0.000 8.051
Ac La Ho Er
2 4 4 4
Cartesian
0.000 0.000 0.000
5.795 2.591 0.000
2.309 2.591 1.234
2.263 0.000 6.817
8.105 0.000 1.234
8.058 2.591 6.817
0.008 2.591 5.653
4.565 0.000 2.398
5.803 0.000 5.653
10.360 2.591 2.398
1.106 0.000 3.476
3.466 2.591 4.575
6.901 2.591 3.476
9.262 0.000 4.575
```

Results
final energy = -4.556 eV per atom

# 5
A plane-wave DFT calculation with PBE-GGA was carried out for a relaxed structure of KSr2VW.

Structure (POSCAR):
```
KSr2VW
1.0
6.128 0.000 0.000
0.000 6.128 0.000
0.000 0.000 6.316
K Sr V W
1 2 1 1
Cartesian
0.000 0.000 0.000
0.000 3.064 3.158
3.064 0.000 3.158
3.064 3.064 0.000
0.000 0.000 3.158
```

Results
final energy = -3.414 eV per atom

# 6
A plane-wave DFT calculation with PBE-GGA was carried out for a relaxed structure of Na2Tl6InSn.

Structure (POSCAR):
```
Na2Tl6InSn
1.0
8.528 0.000 0.000
0.000 8.095 0.000
-8.354 0.000 8.700
Na Tl In Sn
4 12 2 2
Cartesian
-0.583 1.569 2.236
-4.760 2.479 6.586
4.934 5.617 2.114
0.757 6.526 6.464
-7.112 1.087 8.250
-2.935 2.960 3.899
-5.371 5.220 8.208
-1.194 6.923 3.858
-2.394 5.210 6.555
1.783 6.933 2.205
-1.609 1.162 6.495
2.568 2.885 2.145
1.369 1.173 4.842
5.545 2.875 0.492
3.110 5.135 4.801
7.287 7.008 0.451
-4.177 0.000 4.350
0.000 4.048 0.000
4.264 0.000 0.000
0.087 4.048 4.350
```

Results
final energy = -2.355 eV per atom